{
  "formula": "YZrPO2",
  "functional": "GGA-PBE",
  "state": "optimized geometry",
  "lattice": [[-0.7814, -2.3416, -3.2712], [3.5352, -1.9900, 0.5801], [-2.5136, -3.5497, 3.1414]],
  "species": ["Y", "P", "O", "O", "Zr"],
  "frac_coords": [[0.5000, 0.5000, 0.5000], [0.0000, 0.0000, 0.5000], [0.0000, 0.5000, 0.0000], [0.5000, 0.0000, 0.0000], [0.0000, 0.0000, 0.0000]],
  "formation_energy_uncorrected_kj_per_mol_atoms": -213,
  "polymorph_energy_mev_per_atom": 0,
  "e_tot_ev_per_atom": -8.27
}